[1]
A plane-wave DFT calculation with SCAN was carried out for a PBEsol-optimized structure of Sc2MnAs.

a b c (Å): 3.0644 3.0644 7.3435
angles (deg): 90.00 90.00 90.00
Space group P4mm (No. 99)
Symmetry-distinct sites (fractional):
1 Sc 0.0000 0.0000 0.0000 [1 per cell]
2 Sc 0.5000 0.5000 0.3604 [1 per cell]
3 Mn 0.5000 0.5000 0.7637 [1 per cell]
4 As 0.0000 0.0000 0.6150 [1 per cell]

## Properties
For the spin magnetization, the calculation gives 0.00 μB per formula unit. The density of states at the Fermi level is 0.987 states/eV per atom. The calculation puts the energy of formation at -0.263 eV/atom. Its crystal system is tetragonal.

***

[2]
A plane-wave DFT calculation with SCAN was carried out for a PBEsol-optimized structure of DyAg2.

a b c (Å): 3.6624 3.6624 9.0692
angles (deg): 90.00 90.00 90.00
Space group I4/mmm (No. 139)
Symmetry-distinct sites (fractional):
1 Dy 0.0000 0.0000 0.0000 [2 per cell]
2 Ag 0.0000 0.0000 0.3293 [4 per cell]

## Properties
For the spin magnetization, the calculation gives 0.00 μB per formula unit. The density of states at the Fermi level is 0.328 states/eV per atom. The calculation puts the energy of formation at -0.366 eV/atom. Its crystal system is tetragonal.

***

[3]
A plane-wave DFT calculation with SCAN was carried out for a PBEsol-optimized structure of Zn3CdH.

a b c (Å): 4.0775 4.0775 4.0775
angles (deg): 90.00 90.00 90.00
Space group Pm-3m (No. 221)
Symmetry-distinct sites (fractional):
1 Zn 0.0000 0.0000 0.5000 [3 per cell]
2 Cd 0.5000 0.5000 0.5000 [1 per cell]
3 H 0.0000 0.0000 0.0000 [1 per cell]

## Properties
For the spin magnetization, the calculation gives 0.00 μB per formula unit. The density of states at the Fermi level is 0.317 states/eV per atom. The value obtained for the total energy is -14.546 eV/atom. Its crystal system is cubic.

***

[4]
A plane-wave DFT calculation with SCAN was carried out for a PBEsol-optimized structure of Ir3Os.

a b c (Å): 5.4105 7.6604 2.7051
angles (deg): 90.00 90.00 90.00
Space group Cmmm (No. 65)
Symmetry-distinct sites (fractional):
1 Ir 0.0000 0.0000 0.0000 [2 per cell]
2 Ir 0.2500 0.2500 0.5000 [4 per cell]
3 Os 0.0000 0.5000 0.0000 [2 per cell]

## Properties
For the spin magnetization, the calculation gives 0.00 μB per formula unit. The density of states at the Fermi level is 0.816 states/eV per atom. The calculation puts the energy of formation at 0.025 eV/atom. Its crystal system is orthorhombic.

***

[5]
A plane-wave DFT calculation with SCAN was carried out for a PBEsol-optimized structure of MoAs2OsS.

a b c (Å): 4.5571 4.5571 4.2764
angles (deg): 90.00 90.00 90.00
Space group P4/mmm (No. 123)
Symmetry-distinct sites (fractional):
1 Mo 0.0000 0.0000 0.0000 [1 per cell]
2 As 0.0000 0.5000 0.5000 [2 per cell]
3 Os 0.5000 0.5000 0.0000 [1 per cell]
4 S 0.0000 0.0000 0.5000 [1 per cell]

## Properties
For the spin magnetization, the calculation gives 1.66 μB per formula unit. The density of states at the Fermi level is 0.749 states/eV per atom. The value obtained for the formation energy without anion corrections is 751 kJ/mol of formula units. Its crystal system is tetragonal.

***

[6]
A plane-wave DFT calculation with SCAN was carried out for a PBEsol-optimized structure of Be2InP2.

a b c (Å): 3.4574 3.4574 13.0629
angles (deg): 90.00 90.00 90.00
Space group I4/mmm (No. 139)
Symmetry-distinct sites (fractional):
1 Be 0.0000 0.5000 0.2500 [4 per cell]
2 In 0.0000 0.0000 0.0000 [2 per cell]
3 P 0.0000 0.0000 0.3533 [4 per cell]

## Properties
For the spin magnetization, the calculation gives 0.00 μB per formula unit. The density of states at the Fermi level is 0.252 states/eV per atom. The calculation puts the energy of formation at -0.104 eV/atom. Its crystal system is tetragonal.

***

[7]
A plane-wave DFT calculation with SCAN was carried out for a PBEsol-optimized structure of K6Al32O51.

a b c (Å): 9.7829 16.9269 11.9634
angles (deg): 90.00 107.04 90.00
Space group Cm (No. 8)
Symmetry-distinct sites (fractional):
1 K 0.0000 0.0000 0.0000 [2 per cell]
2 K 0.0628 0.3133 0.9969 [4 per cell]
3 K 0.1673 0.5000 0.9713 [2 per cell]
4 K 0.2849 0.1033 0.0191 [4 per cell]
5 Al 0.0209 0.5000 0.4196 [2 per cell]
6 Al 0.0231 0.1665 0.4308 [4 per cell]
7 Al 0.0330 0.0840 0.6917 [4 per cell]
8 Al 0.0332 0.2489 0.6929 [4 per cell]
9 Al 0.0337 0.4164 0.6833 [4 per cell]
10 Al 0.2077 0.4168 0.2639 [4 per cell]
11 Al 0.2167 0.0804 0.2675 [4 per cell]
12 Al 0.2167 0.2511 0.2757 [4 per cell]
13 Al 0.2256 0.0000 0.5316 [2 per cell]
14 Al 0.2272 0.3331 0.5323 [4 per cell]
15 Al 0.2810 0.5000 0.6876 [2 per cell]
16 Al 0.2820 0.1670 0.6905 [4 per cell]
17 Al 0.3289 0.3341 0.8300 [4 per cell]
18 Al 0.3367 0.0000 0.8163 [2 per cell]
19 Al 0.3734 0.1667 0.4795 [4 per cell]
20 Al 0.3738 0.5000 0.4794 [2 per cell]
21 Al 0.4198 0.3338 0.1357 [4 per cell]
22 Al 0.4684 0.1660 0.2703 [4 per cell]
23 Al 0.4688 0.5000 0.2765 [2 per cell]
24 O 0.0204 0.0822 0.1956 [4 per cell]
25 O 0.0243 0.2491 0.1946 [4 per cell]
26 O 0.0269 0.4054 0.1891 [4 per cell]
27 O 0.0660 0.0000 0.5812 [2 per cell]
28 O 0.0670 0.3335 0.5803 [4 per cell]
29 O 0.0788 0.1677 0.5917 [4 per cell]
30 O 0.0831 0.5000 0.5825 [2 per cell]
31 O 0.1680 0.0000 0.3746 [2 per cell]
32 O 0.1728 0.3312 0.3759 [4 per cell]
33 O 0.1826 0.1673 0.3843 [4 per cell]
34 O 0.1841 0.5000 0.3793 [2 per cell]
35 O 0.2252 0.0845 0.7656 [4 per cell]
36 O 0.2257 0.4188 0.7682 [4 per cell]
37 O 0.2268 0.2487 0.7709 [4 per cell]
38 O 0.2480 0.0000 0.1838 [2 per cell]
39 O 0.2728 0.1687 0.2031 [4 per cell]
40 O 0.2728 0.3320 0.1936 [4 per cell]
41 O 0.2776 0.5000 0.1992 [2 per cell]
42 O 0.3305 0.0894 0.5783 [4 per cell]
43 O 0.3332 0.2449 0.5829 [4 per cell]
44 O 0.3333 0.4217 0.5815 [4 per cell]
45 O 0.3704 0.3379 0.9824 [4 per cell]
46 O 0.4160 0.0887 0.3809 [4 per cell]
47 O 0.4182 0.0000 0.9602 [2 per cell]
48 O 0.4185 0.2450 0.3842 [4 per cell]
49 O 0.4188 0.4218 0.3837 [4 per cell]
50 O 0.4749 0.5000 0.7644 [2 per cell]
51 O 0.4763 0.1657 0.7621 [4 per cell]
52 O 0.4785 0.0000 0.7525 [2 per cell]
53 O 0.4796 0.3335 0.7735 [4 per cell]

## Properties
For the spin magnetization, the calculation gives 0.20 μB per formula unit. The density of states at the Fermi level is 0.000 states/eV per atom. The value obtained for the formation energy without anion corrections is -27375 kJ/mol of formula units. Its crystal system is monoclinic.

***

[8]
A plane-wave DFT calculation with SCAN was carried out for a PBEsol-optimized structure of CdMo2As.

a b c (Å): 3.1808 3.1808 6.7522
angles (deg): 90.00 90.00 90.00
Space group P4mm (No. 99)
Symmetry-distinct sites (fractional):
1 Cd 0.0000 0.0000 0.0000 [1 per cell]
2 Mo 0.0000 0.0000 0.4887 [1 per cell]
3 Mo 0.5000 0.5000 0.2774 [1 per cell]
4 As 0.5000 0.5000 0.6920 [1 per cell]

## Properties
For the spin magnetization, the calculation gives 0.00 μB per formula unit. The density of states at the Fermi level is 0.438 states/eV per atom. The calculation puts the energy of formation at 0.153 eV/atom. The value obtained for the excess energy over the best structure of this formula in the dataset is 0 meV/atom. Its crystal system is tetragonal.

***

[9]
A plane-wave DFT calculation with SCAN was carried out for a PBEsol-optimized structure of RbBe2B3O7.

a b c (Å): 7.6959 17.7488 4.4023
angles (deg): 90.00 90.00 90.00
Space group Pmn2_1 (No. 31)
Symmetry-distinct sites (fractional):
1 Rb 0.0000 0.1402 0.0000 [2 per cell]
2 Rb 0.0000 0.6480 0.4716 [2 per cell]
3 Be 0.1754 0.4631 0.3918 [4 per cell]
4 Be 0.1871 0.9598 0.9836 [4 per cell]
5 B 0.0000 0.4914 0.8959 [2 per cell]
6 B 0.0000 0.9808 0.4861 [2 per cell]
7 B 0.1587 0.8179 0.0725 [4 per cell]
8 B 0.1652 0.3063 0.4751 [4 per cell]
9 O 0.0000 0.2748 0.5101 [2 per cell]
10 O 0.0000 0.4899 0.2079 [2 per cell]
11 O 0.0000 0.8339 0.2144 [2 per cell]
12 O 0.0000 0.9742 0.7993 [2 per cell]
13 O 0.1553 0.4938 0.7413 [4 per cell]
14 O 0.1570 0.9872 0.3353 [4 per cell]
15 O 0.1966 0.7417 0.0490 [4 per cell]
16 O 0.2061 0.3755 0.3868 [4 per cell]
17 O 0.2417 0.1258 0.4711 [4 per cell]

## Properties
For the spin magnetization, the calculation gives 0.06 μB per formula unit. The density of states at the Fermi level is 0.000 states/eV per atom. The value obtained for the formation energy without anion corrections is -3425 kJ/mol of formula units. Its crystal system is orthorhombic.

***

[10]
A plane-wave DFT calculation with SCAN was carried out for a PBEsol-optimized structure of Ta2MnCu.

a b c (Å): 2.7493 2.7493 7.7604
angles (deg): 90.00 90.00 90.00
Space group P4/mmm (No. 123)
Symmetry-distinct sites (fractional):
1 Ta 0.0000 0.0000 0.2471 [2 per cell]
2 Mn 0.5000 0.5000 0.0000 [1 per cell]
3 Cu 0.5000 0.5000 0.5000 [1 per cell]

## Properties
For the spin magnetization, the calculation gives 3.38 μB per formula unit. The density of states at the Fermi level is 0.609 states/eV per atom. The calculation puts the energy of formation at 0.052 eV/atom. Its crystal system is tetragonal.